This record from Alexandria via LeMat-Bulk describes crystalline V2TeO6 at its relaxed geometry. The functional is GGA+U.

Cell lengths 9.7839, 3.7654, 6.7186 Å; angles 90.00, 116.68, 90.00 degrees
Space group C2/m (No. 12)
Inequivalent atoms, fractional coordinates:
V: 0.1806 0.0000 0.1149 x4
Te: 0.0000 0.0000 0.5000 x2
O: 0.0257 0.0000 0.1966 x4
O: 0.1462 0.5000 0.6057 x4
O: 0.2244 0.5000 0.0959 x4

Results
energy	-6.891	eV per atom
magnetization	3.995	μB per cell
ΔE to the lowest computed polymorph	0.000	eV/atom